Below is a geometry-optimized HfAlV2O6 structure, with properties calculated at the PBE+U level.

- Symmetry: P1, No. 1
- M_tot: 0.500 μB/atom
- Electronic total energy: -84.55 eV for the cell shown

a b c (Å): 5.153 5.161 5.574
angles (deg): 62.50 62.61 60.26
Element x y z (fractional)
Hf 0.000 0.000 0.000
Al 0.498 0.497 0.510
V 0.295 0.295 0.119
V 0.802 0.801 0.603
O 0.107 0.702 0.795
O 0.218 0.610 0.318
O 0.394 0.110 0.792
O 0.610 0.854 0.319
O 0.704 0.398 0.795
O 0.854 0.218 0.320

Below is a geometry-optimized TmMoF6 structure, with properties calculated at the PBE+U level.

- Symmetry: C2/m, No. 12
- M_tot: 0.375 μB/atom
- Electronic total energy: -47.99 eV for the cell shown

a b c (Å): 5.046 5.046 6.164
angles (deg): 97.73 97.73 116.39
Element x y z (fractional)
Tm 0.000 0.000 0.000
Mo 0.000 0.000 0.500
F 0.004 0.305 0.778
F 0.288 0.288 0.318
F 0.305 0.004 0.778
F 0.695 0.996 0.222
F 0.712 0.712 0.682
F 0.996 0.695 0.222